Record 1
Computed, not measured: BiSe after structural relaxation at the PBE level of DFT.

Cell: 6.796 6.796 6.796 Å, 90.00 90.00 90.00°
Fractional positions:
Se  0.750  0.250  0.750
Se  0.750  0.750  0.250
Se  0.250  0.750  0.750
Bi  0.000  0.000  0.000
Se  0.250  0.250  0.250
Bi  0.500  0.500  0.000
Bi  0.500  0.000  0.500
Bi  0.000  0.500  0.500

Calculated values
As for the volume: 78.5 Å³/f.u. The energy above the most stable polymorph in this dataset is 373 meV per atom. The total energy is -29.07 eV for the cell shown. As for the spin magnetization: 0.00 μB/f.u. Its space group is No. 216. The energy relative to the elements, uncorrected comes out at 0.05 eV/atom.



Record 2
Computed, not measured: BaCd2O2 after structural relaxation at the PBE level of DFT.

Cell: 7.671 7.671 3.943 Å, 90.00 90.00 90.00°
Fractional positions:
O  0.273  0.227  0.000
O  0.773  0.273  0.000
O  0.727  0.773  0.000
O  0.227  0.727  0.000
Cd  0.624  0.876  0.500
Ba  0.500  0.500  0.000
Cd  0.124  0.624  0.500
Cd  0.876  0.376  0.500
Cd  0.376  0.124  0.500
Ba  0.000  0.000  0.000

Calculated values
As for the volume: 116.0 Å³/f.u. The energy above the most stable polymorph in this dataset is 199 meV per atom. The total energy is -36.86 eV for the cell shown. As for the spin magnetization: 0.00 μB/f.u. Its space group is No. 127. The energy relative to the elements, uncorrected comes out at -0.95 eV/atom.



Record 3
Computed, not measured: Ho4Mg3Cu after structural relaxation at the PBE level of DFT.

Cell: 3.613 3.613 15.476 Å, 90.00 90.00 90.00°
Fractional positions:
Cu  0.500  0.500  0.000
Ho  0.000  0.000  0.894
Ho  0.000  0.000  0.106
Ho  0.000  0.000  0.631
Mg  0.500  0.500  0.240
Mg  0.500  0.500  0.500
Mg  0.500  0.500  0.760
Ho  0.000  0.000  0.369

Calculated values
As for the volume: 202.0 Å³/f.u. The total energy is -28.01 eV for the cell shown. As for the spin magnetization: 0.00 μB/f.u. Its space group is No. 123. Its calculated formation energy is -0.10 eV/atom.



Record 4
Computed, not measured: SnSb6Pd after structural relaxation at the PBE level of DFT.

Cell: 8.519 8.519 8.777 Å, 109.22 108.87 109.12°
Fractional positions:
Sn  0.500  0.000  0.000
Sb  0.156  0.335  0.490
Pd  0.000  0.000  0.500
Sb  0.844  0.665  0.510
Sb  0.501  0.165  0.370
Sb  0.795  0.130  0.630
Sb  0.499  0.835  0.630
Sb  0.328  0.206  0.831
Sb  0.374  0.497  0.169
Sb  0.135  0.629  0.765
Sb  0.865  0.371  0.235
Pd  0.500  0.500  0.500
Sb  0.672  0.794  0.169
Sb  0.205  0.870  0.370
Sb  0.626  0.503  0.831
Sn  0.000  0.500  0.000

Calculated values
As for the volume: 248.8 Å³/f.u. The total energy is -68.74 eV for the cell shown. As for the spin magnetization: 0.00 μB/f.u. Its space group is No. 12. The energy relative to the elements, uncorrected comes out at -0.05 eV/atom.



Q: Which of these has the lowest volume?
A: BiSe



Copy entry 3 word for word.
Computed, not measured: Ho4Mg3Cu after structural relaxation at the PBE level of DFT.

Cell: 3.613 3.613 15.476 Å, 90.00 90.00 90.00°
Fractional positions:
Cu  0.500  0.500  0.000
Ho  0.000  0.000  0.894
Ho  0.000  0.000  0.106
Ho  0.000  0.000  0.631
Mg  0.500  0.500  0.240
Mg  0.500  0.500  0.500
Mg  0.500  0.500  0.760
Ho  0.000  0.000  0.369

Calculated values
As for the volume: 202.0 Å³/f.u. The total energy is -28.01 eV for the cell shown. As for the spin magnetization: 0.00 μB/f.u. Its space group is No. 123. Its calculated formation energy is -0.10 eV/atom.



Q: What is the formula in the third record?
A: Ho4Mg3Cu



Q: Which of these has the lowest volume?
A: BiSe